(1)
# OsRu3 | Alexandria | SCAN | PBEsol geometry
# formation energy from the elements: -0.012 eV per atom
# magnetization: 0.000 μB per atom
data_OsRu3
_chemical_formula_sum 'Os2 Ru6'
_cell_length_a 2.699
_cell_length_b 8.530
_cell_length_c 4.673
_cell_angle_alpha 90.00
_cell_angle_beta 90.00
_cell_angle_gamma 90.00
_space_group_name_H-M_alt 'I m m 2'
_space_group_IT_number 44
_space_group_name_Hall 'I 2 -2'
loop_
_atom_site_label
_atom_site_type_symbol
_atom_site_fract_x
_atom_site_fract_y
_atom_site_fract_z
Os1 Os 0.000 0.000 0.000
Ru1 Ru 0.000 0.250 0.667
Ru2 Ru 0.000 0.500 0.001



(2)
# Ta3TcRu | Alexandria | SCAN | PBEsol geometry
# formation energy from the elements: 1.480 eV per atom
# magnetization: 0.000 μB per atom
data_Ta3TcRu
_chemical_formula_sum 'Ta3 Tc1 Ru1'
_cell_length_a 4.658
_cell_length_b 4.658
_cell_length_c 4.658
_cell_angle_alpha 90.00
_cell_angle_beta 90.00
_cell_angle_gamma 90.00
_space_group_name_H-M_alt 'P m -3 m'
_space_group_IT_number 221
_space_group_name_Hall '-P 4 2 3'
loop_
_atom_site_label
_atom_site_type_symbol
_atom_site_fract_x
_atom_site_fract_y
_atom_site_fract_z
Ta1 Ta 0.000 0.000 0.500
Tc1 Tc 0.000 0.000 0.000
Ru1 Ru 0.500 0.500 0.500



(3)
# In2O3 | Alexandria | SCAN | PBEsol geometry
# uncorrected formation energy: -1.803 eV/atom
# magnetization: 0.000 μB per atom
data_In2O3
_chemical_formula_sum 'In32 O48'
_cell_length_a 10.170
_cell_length_b 10.170
_cell_length_c 10.170
_cell_angle_alpha 90.00
_cell_angle_beta 90.00
_cell_angle_gamma 90.00
_space_group_name_H-M_alt 'I a -3'
_space_group_IT_number 206
_space_group_name_Hall '-I 2b 2c 3'
loop_
_atom_site_label
_atom_site_type_symbol
_atom_site_fract_x
_atom_site_fract_y
_atom_site_fract_z
In1 In 0.000 0.000 0.000
In2 In 0.000 0.250 0.284
O1 O 0.096 0.140 0.632